Entry from Alexandria: a relaxed structure of ReIrAu3 (GGA-PBE).

a b c (Å): 4.9215 4.9215 4.9215
angles (deg): 90.00 90.00 90.00
Space group Pm-3m (No. 221)
One atom of each set of equivalent atoms:
Re (0.0000, 0.0000, 0.0000) [1 per cell]
Ir (0.5000, 0.5000, 0.5000) [1 per cell]
Au (0.0000, 0.0000, 0.5000) [3 per cell]

Values from the calculation:
Formation energy from the elements in eV/f.u.: 10.48
M_tot in μB per formula unit: 0.00
Energy relative to the lowest polymorph listed for this composition in meV per atom: 150